# Sr2LiIrS6 | OQMD via LeMat-Bulk | PBE | relaxed
# excess energy over the best structure of this formula in the dataset	108	meV/atom
# crystal system	tetragonal
data_Sr2LiIrS6
_chemical_formula_sum 'Sr4 Li2 Ir2 S12'
_symmetry_space_group_name_H-M 'I 4/m'
_symmetry_Int_Tables_number 87
_symmetry_space_group_name_Hall '-I 4'
_cell_length_a 6.670
_cell_length_b 6.670
_cell_length_c 9.451
_cell_angle_alpha 90.00
_cell_angle_beta 90.00
_cell_angle_gamma 90.00
loop_
_atom_site_label
_atom_site_type_symbol
_atom_site_fract_x
_atom_site_fract_y
_atom_site_fract_z
_atom_site_occupancy
Sr1 Sr 0.000 0.500 0.250 1
Li1 Li 0.000 0.000 0.000 1
Ir1 Ir 0.000 0.000 0.500 1
S1 S 0.000 0.000 0.252 1
S2 S 0.240 0.257 0.500 1